[1]
Here is an optimized crystal structure of Zr2GePt from the Alexandria database. Energies are from PBE-GGA.

Lattice parameters (Å, degrees): 3.830 3.830 19.834 90.00 90.00 120.00
Fractional positions:
Zr  0.000  0.000  0.250
Zr  0.000  0.000  0.750
Zr  0.333  0.667  0.416
Zr  0.333  0.667  0.917
Zr  0.667  0.333  0.083
Zr  0.667  0.333  0.584
Ge  0.000  0.000  0.000
Ge  0.333  0.667  0.667
Ge  0.667  0.333  0.333
Pt  0.000  0.000  0.500
Pt  0.333  0.667  0.167
Pt  0.667  0.333  0.833

Values from the calculation:
The total moment comes out at 0.00 μB/f.u. The value obtained for the energy of formation from the pure elements is -0.65 eV per atom. The energy comes out at -7.589 eV/atom. Its space group is No. 166.

***

[2]
Here is an optimized crystal structure of NaZn3S from the Alexandria database. Energies are from PBE-GGA.

Lattice parameters (Å, degrees): 5.296 5.296 5.296 90.00 90.00 90.00
Fractional positions:
Na  0.000  0.000  0.000
Zn  0.000  0.000  0.500
Zn  0.000  0.500  0.000
Zn  0.500  0.000  0.000
S  0.500  0.500  0.500

Values from the calculation:
The total moment comes out at 1.03 μB/f.u. As for the formation energy without anion corrections: 407 kJ/mol of formula units. The energy comes out at -1.010 eV/atom. Its space group is No. 221.

***

[3]
Here is an optimized crystal structure of Zr2CoB2 from the Alexandria database. Energies are from PBE-GGA.

Lattice parameters (Å, degrees): 5.994 5.994 3.550 90.00 90.00 90.00
Fractional positions:
Zr  0.182  0.318  0.000
Zr  0.318  0.818  0.000
Zr  0.682  0.182  0.000
Zr  0.818  0.682  0.000
Co  0.000  0.000  0.500
Co  0.500  0.500  0.500
B  0.109  0.609  0.500
B  0.391  0.109  0.500
B  0.609  0.891  0.500
B  0.891  0.391  0.500

Values from the calculation:
The total moment comes out at 0.00 μB/f.u. The value obtained for the energy of formation from the pure elements is -0.59 eV per atom. The energy comes out at -8.106 eV/atom. Its space group is No. 127.

***

[4]
Here is an optimized crystal structure of CsTcSb2 from the Alexandria database. Energies are from PBE-GGA.

Lattice parameters (Å, degrees): 7.578 7.578 7.578 90.00 90.00 90.00
Fractional positions:
Cs  0.000  0.000  0.000
Cs  0.000  0.500  0.500
Cs  0.500  0.000  0.500
Cs  0.500  0.500  0.000
Tc  0.000  0.000  0.500
Tc  0.000  0.500  0.000
Tc  0.500  0.000  0.000
Tc  0.500  0.500  0.500
Sb  0.250  0.250  0.250
Sb  0.250  0.250  0.750
Sb  0.250  0.750  0.250
Sb  0.250  0.750  0.750
Sb  0.750  0.250  0.250
Sb  0.750  0.250  0.750
Sb  0.750  0.750  0.250
Sb  0.750  0.750  0.750

Values from the calculation:
The total moment comes out at 2.05 μB/f.u. As for the formation energy without anion corrections: 335 kJ/mol of formula units. The energy comes out at -3.997 eV/atom. Its space group is No. 225.